Material: Mg3Ga5Ag2
Method: DFT, GGA-PBE
State: relaxed

For the density, the calculation gives 5.31 g/cm³. The formation energy is -0.065 eV/atom. For the density of states at the Fermi level, the calculation gives 14.275 states/eV per cell.

The structure belongs to space group Ibam (No. 72); the cell edges are 11.0118, 12.4862 and 5.7969 Å and the angles 90.00°, 90.00° and 90.00°. Symmetry generates all atoms from Mg at (0.0000, 0.0000, 0.2500), Mg at (0.1241, 0.2236, 0.0000), Ga at (0.0000, 0.5000, 0.2500), Ga at (0.1163, 0.3573, 0.5000), Ga at (0.2492, 0.5000, 0.2500) and Ag at (0.1356, 0.1538, 0.5000).